VASP calculation (PBE-GGA) on crystalline V2Co2Pd at its relaxed geometry.

Calculated values
formation enthalpy at 0 K: 0.0023 eV per atom
uncorrected energy: -7.526 eV/atom
symmetry: P4/mbm

Unit cell a=6.9899 b=6.9899 c=2.6368 alpha=90.00 beta=90.00 gamma=90.00
Sites, in units of the cell vectors:
V (0.1500, 0.3500, 0.0000)
V (0.3500, 0.8500, 0.0000)
V (0.6500, 0.1500, 0.0000)
V (0.8500, 0.6500, 0.0000)
Co (0.1414, 0.6414, 0.5000)
Co (0.3586, 0.1414, 0.5000)
Co (0.6414, 0.8586, 0.5000)
Co (0.8586, 0.3586, 0.5000)
Pd (0.0000, 0.0000, 0.0000)
Pd (0.5000, 0.5000, 0.0000)

***

VASP calculation (PBE-GGA) on crystalline V2CoPd at its relaxed geometry.

Calculated values
formation enthalpy at 0 K: -0.1728 eV per atom
uncorrected energy: -7.807 eV/atom
symmetry: P4/mmm

Unit cell a=2.6414 b=2.6414 c=7.4340 alpha=90.00 beta=90.00 gamma=90.00
Sites, in units of the cell vectors:
V (0.0000, 0.0000, 0.2290)
V (0.0000, 0.0000, 0.7710)
Co (0.5000, 0.5000, 0.0000)
Pd (0.5000, 0.5000, 0.5000)

***

VASP calculation (PBE-GGA) on crystalline V3CoPd at its relaxed geometry.

Calculated values
formation enthalpy at 0 K: 0.6460 eV per atom
uncorrected energy: -7.285 eV/atom
symmetry: Pm-3m

Unit cell a=4.2788 b=4.2788 c=4.2788 alpha=90.00 beta=90.00 gamma=90.00
Sites, in units of the cell vectors:
V (0.0000, 0.0000, 0.5000)
V (0.0000, 0.5000, 0.0000)
V (0.5000, 0.0000, 0.0000)
Co (0.0000, 0.0000, 0.0000)
Pd (0.5000, 0.5000, 0.5000)